# BaYF5, relaxed, DFT PBE-GGA
data_BaYF5
_chemical_formula_sum 'Ba6 Y6 F30'
_space_group_name_H-M_alt 'P -1'
_space_group_IT_number 2
_cell_length_a 7.7231
_cell_length_b 8.4514
_cell_length_c 11.3112
_cell_angle_alpha 79.21
_cell_angle_beta 87.46
_cell_angle_gamma 79.45
loop_
_space_group_symop_operation_xyz
'x,y,z'
'-x,-y,-z'
loop_
_atom_site_label
_atom_site_fract_x
_atom_site_fract_y
_atom_site_fract_z
Ba1 0.1267 0.4474 0.2304
Ba2 0.2101 0.1347 0.5591
Ba3 0.2802 0.7444 0.8991
Y1 0.2695 0.9617 0.2292
Y2 0.2771 0.2363 0.9310
Y3 0.3064 0.6751 0.5014
F1 0.0066 0.6710 0.0405
F2 0.0333 0.1582 0.2056
F3 0.0424 0.6281 0.5572
F4 0.1314 0.9245 0.4290
F5 0.1860 0.9966 0.0330
F6 0.1906 0.7063 0.3080
F7 0.2216 0.4713 0.7951
F8 0.2231 0.1076 0.7891
F9 0.3129 0.8053 0.6481
F10 0.3180 0.1605 0.3271
F11 0.3333 0.4260 0.0380
F12 0.3891 0.4244 0.4567
F13 0.4429 0.1050 0.1024
F14 0.4470 0.7657 0.1368
F15 0.4675 0.8322 0.3784
# E, eV per atom: -6.52
# D(E_F), states/eV/atom: 0.00
# Raw formation energy, eV/atom: -3.98